(1)
Compound: CeHoZn4
Source: Alexandria
Functional: PBE
Structure: optimized geometry

Cell and atoms, written as CIF:
```
data_CeHoZn4
_symmetry_space_group_name_H-M 'P 1'
_symmetry_Int_Tables_number 1
_cell_length_a 5.4716
_cell_length_b 5.4716
_cell_length_c 5.4716
_cell_angle_alpha 60.00
_cell_angle_beta 60.00
_cell_angle_gamma 60.00
loop_
_symmetry_equiv_pos_as_xyz
'x,y,z'
loop_
_atom_site_label
_atom_site_type_symbol
_atom_site_fract_x
_atom_site_fract_y
_atom_site_fract_z
Zn1 Zn 0.6254 0.6254 0.1237
Zn2 Zn 0.6254 0.1237 0.6254
Zn3 Zn 0.6254 0.6254 0.6254
Zn4 Zn 0.1237 0.6254 0.6254
Ho1 Ho 0.0000 0.0000 0.0000
Ce1 Ce 0.2500 0.2500 0.2500
```

## Properties
The formation energy is -0.303 eV/atom. The calculation puts the total magnetization at 0.0577 μB/atom. The polymorph energy (0 for the lowest one) is 15 meV/atom.



(2)
Compound: CeHo3Zn4
Source: Alexandria
Functional: PBE
Structure: optimized geometry

Cell and atoms, written as CIF:
```
data_CeHo3Zn4
_symmetry_space_group_name_H-M 'P 1'
_symmetry_Int_Tables_number 1
_cell_length_a 5.0555
_cell_length_b 5.0555
_cell_length_c 8.7309
_cell_angle_alpha 73.17
_cell_angle_beta 73.17
_cell_angle_gamma 60.00
loop_
_symmetry_equiv_pos_as_xyz
'x,y,z'
loop_
_atom_site_label
_atom_site_type_symbol
_atom_site_fract_x
_atom_site_fract_y
_atom_site_fract_z
Zn1 Zn 0.8741 0.8741 0.3777
Zn2 Zn 0.3767 0.3767 0.8700
Zn3 Zn 0.1259 0.1259 0.6223
Zn4 Zn 0.6233 0.6233 0.1300
Ho1 Ho 0.2504 0.2504 0.2487
Ho2 Ho 0.7496 0.7496 0.7513
Ho3 Ho 0.5000 0.5000 0.5000
Ce1 Ce 0.0000 0.0000 0.0000
```

## Properties
The formation energy is -0.295 eV/atom. The calculation puts the total magnetization at 0.1086 μB/atom.



(3)
Compound: CeHo3Zn8
Source: Alexandria
Functional: PBE
Structure: optimized geometry

Cell and atoms, written as CIF:
```
data_CeHo3Zn8
_symmetry_space_group_name_H-M 'P 1'
_symmetry_Int_Tables_number 1
_cell_length_a 5.5184
_cell_length_b 5.5184
_cell_length_c 8.7185
_cell_angle_alpha 90.00
_cell_angle_beta 90.00
_cell_angle_gamma 120.00
loop_
_symmetry_equiv_pos_as_xyz
'x,y,z'
loop_
_atom_site_label
_atom_site_type_symbol
_atom_site_fract_x
_atom_site_fract_y
_atom_site_fract_z
Ce1 Ce 0.0000 0.0000 0.5578
Ho1 Ho 0.6667 0.3333 0.4452
Ho2 Ho 0.6667 0.3333 0.0633
Ho3 Ho 0.0000 0.0000 0.9332
Zn1 Zn 0.3333 0.6667 0.5007
Zn2 Zn 0.3333 0.6667 0.0010
Zn3 Zn 0.5030 0.0059 0.7533
Zn4 Zn 0.5030 0.4970 0.7533
Zn5 Zn 0.9941 0.4970 0.7533
Zn6 Zn 0.1640 0.3279 0.2464
Zn7 Zn 0.1640 0.8360 0.2464
Zn8 Zn 0.6721 0.8360 0.2464
```

## Properties
The formation energy is -0.302 eV/atom. The calculation puts the total magnetization at 0.0531 μB/atom.



(4)
Compound: CeHo3Zn2
Source: Alexandria
Functional: PBE
Structure: optimized geometry

Cell and atoms, written as CIF:
```
data_CeHo3Zn2
_symmetry_space_group_name_H-M 'P 1'
_symmetry_Int_Tables_number 1
_cell_length_a 3.5214
_cell_length_b 3.5214
_cell_length_c 12.0997
_cell_angle_alpha 90.00
_cell_angle_beta 90.00
_cell_angle_gamma 90.00
loop_
_symmetry_equiv_pos_as_xyz
'x,y,z'
loop_
_atom_site_label
_atom_site_type_symbol
_atom_site_fract_x
_atom_site_fract_y
_atom_site_fract_z
Ce1 Ce 0.5000 0.5000 0.5000
Ho1 Ho 0.0000 0.0000 0.0000
Ho2 Ho 0.0000 0.0000 0.7055
Ho3 Ho 0.0000 0.0000 0.2945
Zn1 Zn 0.5000 0.5000 0.8523
Zn2 Zn 0.5000 0.5000 0.1477
```

## Properties
The formation energy is -0.201 eV/atom. The calculation puts the total magnetization at 0.1159 μB/atom.